1.
Material: BaLiMgSb2
Method: DFT, PBE
State: relaxed

Size of the total moment in μB/cell: 0.0
Formation energy from raw total energies in eV per atom: -0.73

The structure in POSCAR format:
```
BaLiMgSb2
1.0
-2.700 -2.969 -2.538
-1.772 -1.818 4.012
-2.522 6.806 -0.838
Ba Li Mg Sb
1 1 1 2
direct
0.000 0.000 0.000
0.250 0.750 0.500
0.750 0.250 0.500
0.624 0.624 0.249
0.376 0.376 0.751
```

2.
Material: Ba2LiMgSe
Method: DFT, PBE
State: relaxed

Size of the total moment in μB/cell: 0.4
Formation energy from raw total energies in eV per atom: -0.68

The structure in POSCAR format:
```
Ba2LiMgSe
1.0
-0.908 -1.895 -6.121
-5.725 -2.536 1.634
-2.140 4.198 -0.982
Mg Ba Se Li
1 2 1 1
direct
0.500 0.500 0.500
0.000 0.500 0.000
0.500 0.000 0.000
0.000 0.000 0.000
0.000 0.000 0.500
```